Compound: RbTe2Pt
Source: Alexandria via LeMat-Bulk
Functional: PBE-GGA
Structure: optimized geometry

The space group is R-3m (No. 166, hexagonal axes) and the conventional cell measures 4.1241, 4.1241 and 29.9492 Å, with angles of 90.00, 90.00 and 120.00 degrees. Symmetry generates all atoms from Rb at (0.0000, 0.0000, 0.0000), Te at (0.0000, 0.0000, 0.1211) and Pt at (0.0000, 0.0000, 0.5000).

For the energy relative to the elements, uncorrected, the calculation gives -0.338 eV per atom. Its density is 6.1 Mg/m³.

---

Compound: LaCoAu
Source: Alexandria via LeMat-Bulk
Functional: PBE-GGA
Structure: optimized geometry

The space group is I4mm (No. 107) and the conventional cell measures 3.591, 3.591 and 9.900 Å, with angles of 90.00, 90.00 and 90.00 degrees. Symmetry generates all atoms from La at (0.000, 0.000, 0.000), Co at (0.000, 0.000, 0.312) and Au at (0.000, 0.000, 0.698).

Its formation enthalpy at 0 K is -0.120 eV per atom. Its density is 10.3 Mg/m³.

---

Compound: ZnSiIr2
Source: Alexandria via LeMat-Bulk
Functional: PBE-GGA
Structure: optimized geometry

The space group is Pm (No. 6) and the conventional cell measures 2.851, 4.225 and 4.953 Å, with angles of 90.00, 105.94 and 90.00 degrees. Symmetry generates all atoms from Zn at (0.000, 0.000, 0.000), Si at (0.384, 0.500, 0.748), Ir at (0.269, 0.000, 0.528) and Ir at (0.637, 0.500, 0.248).

For the energy relative to the elements, uncorrected, the calculation gives -0.207 eV per atom. Its density is 13.8 Mg/m³.